DFT (GGA-PBE) results for a relaxed structure of FeCo6Pt.

```
FeCo6Pt
1.0
4.021 -1.798 0.000
4.021 1.798 0.000
-3.271 0.000 6.477
Fe Co Pt
1 6 1
Direct
0.000 0.000 0.000
0.243 0.243 0.363
0.254 0.254 0.880
0.496 0.496 0.241
0.504 0.504 0.759
0.746 0.746 0.120
0.757 0.757 0.637
0.000 0.000 0.500
```

DFT formation energy = -1.4 kJ/mol of atoms
calculated total energy = -7.157 eV per atom
M_tot = 12.94 Bohr magnetons per cell



DFT (GGA-PBE) results for a relaxed structure of FeCoPt.

```
FeCoPt
1.0
-1.375 1.375 5.173
1.375 -1.375 5.173
1.375 1.375 -5.173
Fe Co Pt
1 1 1
Direct
0.000 0.000 0.000
0.643 0.643 0.000
0.321 0.321 0.000
```

relative energy among the computed polymorphs = 33 meV per atom
DFT formation energy = -8.0 kJ/mol of atoms
calculated total energy = -7.286 eV per atom
M_tot = 4.85 Bohr magnetons per cell